1.
Tb5Pb3 meta-GGA SCAN PBEsol geometry; density of states at the Fermi level = 0.47 states/eV/atom; DFT total energy = -934.8 eV per cell; crystal system = hexagonal
1.0
8.965 0.000 0.000
-4.482 7.764 0.000
0.000 0.000 6.545
Tb Pb
10 6
direct
0.000 0.237 0.250
0.000 0.763 0.750
0.237 0.000 0.250
0.237 0.237 0.750
0.333 0.667 0.000
0.333 0.667 0.500
0.667 0.333 0.000
0.667 0.333 0.500
0.763 0.000 0.750
0.763 0.763 0.250
0.000 0.395 0.750
0.000 0.605 0.250
0.395 0.000 0.750
0.395 0.395 0.250
0.605 0.000 0.250
0.605 0.605 0.750

2.
Tb3Pb meta-GGA SCAN PBEsol geometry; density of states at the Fermi level = 1.04 states/eV/atom; DFT total energy = -217.7 eV per cell; crystal system = tetragonal
1.0
-2.331 2.331 5.064
2.331 -2.331 5.064
2.331 2.331 -5.064
Tb Pb
3 1
direct
0.000 0.000 0.000
0.250 0.750 0.500
0.750 0.250 0.500
0.500 0.500 0.000

3.
TcPb meta-GGA SCAN PBEsol geometry; density of states at the Fermi level = 0.89 states/eV/atom; DFT total energy = -108.9 eV per cell; crystal system = orthorhombic
1.0
1.634 -2.663 0.000
1.634 2.663 0.000
0.000 0.000 4.383
Tc Pb
1 1
direct
0.000 0.000 0.000
0.500 0.500 0.500

- What is the formula in the third record?
  TcPb